A plane-wave DFT calculation with PBE+U was carried out for a relaxed Li2CrP2O8 crystal.

extended XYZ file:
```
13
Lattice="-4.449 -1.727 -1.200 2.350 -1.781 3.939 -3.050 5.017 4.088" Properties=species:S:1:pos:R:3 pbc="T T T"
O -2.353 -1.464 0.742
O -2.795 2.974 6.086
O -4.550 -0.490 1.453
O -0.598 1.999 5.375
O -2.548 2.154 3.730
O -2.499 1.005 1.148
O -2.649 0.505 5.679
O -2.600 -0.645 3.098
Cr -1.525 2.509 2.044
P -2.149 1.911 5.219
P -2.999 -0.401 1.608
Li -0.549 -0.722 3.074
Li -4.599 2.231 3.753
```

Computed properties:
The calculation puts the magnetic moment at 0.153 μB/atom. The uncorrected energy is -89.17 eV per cell. The excess energy over the best structure of this formula in the dataset comes out at 1.5 kJ/mol of atoms. The density of states at the Fermi level is 6.04 states/eV per cell.